Below is crystalline UIrPt4 at its relaxed geometry, with properties calculated at the PBE level.

a b c (Å): 7.4536 7.4536 7.4536
angles (deg): 90.00 90.00 90.00
Space group F-43m (No. 216)
One atom of each set of equivalent atoms:
U 0.0000 0.0000 0.0000
Ir 0.2500 0.2500 0.7500
Pt 0.1246 0.1246 0.3754

Calculated values
total DFT energy (no corrections)	-186.10	eV per cell
mass density	19.418	g cm⁻³
formation enthalpy at 0 K	-0.37	eV/atom
size of the total moment	0.006	μB per formula unit
density of states at the Fermi level	17.616	states/eV/cell